(1)
Below is an optimized crystal structure of Pm5Sm2Sn5, with properties calculated at the PBE level.

```
Pm5Sm2Sn5
1.0
7.440 -2.225 0.000
7.440 2.225 0.000
-4.136 0.000 12.288
Pm Sm Sn
5 2 5
direct
0.000 0.000 0.000
0.159 0.159 0.541
0.229 0.229 0.847
0.771 0.771 0.153
0.841 0.841 0.459
0.450 0.450 0.715
0.550 0.550 0.285
0.200 0.200 0.297
0.383 0.383 0.072
0.500 0.500 0.500
0.617 0.617 0.928
0.800 0.800 0.703
```

Output
ΔH_f (0 K) in eV/atom: -0.544
Crystal system: monoclinic

=====

(2)
Below is an optimized crystal structure of LaY2Sn2Hg2, with properties calculated at the PBE level.

```
LaY2Sn2Hg2
1.0
2.515 1.452 9.045
-2.515 1.452 9.045
0.000 -2.904 9.045
La Y Sn Hg
1 2 2 2
direct
0.000 0.000 0.000
0.132 0.132 0.132
0.868 0.868 0.868
0.266 0.266 0.266
0.734 0.734 0.734
0.434 0.434 0.434
0.566 0.566 0.566
```

Output
ΔH_f (0 K) in eV/atom: -0.387
Crystal system: trigonal

=====

no.,E (eV/atom)
1,-4.977
2,-4.168